No. 1
Al2TcS2: relaxed, GGA-PBE. Values from VASP.

```
&SYSTEM
  ibrav = 0, nat = 10, ntyp = 3
/
ATOMIC_SPECIES
S 32.06 S.upf
Tc 98.00 Tc.upf
Al 26.98 Al.upf
CELL_PARAMETERS angstrom
6.6115 0.0000 0.0000
0.0000 6.6115 0.0000
0.0000 0.0000 3.4588
ATOMIC_POSITIONS angstrom
S 2.1946 5.5003 0.0000
S 5.5003 4.4170 0.0000
S 4.4170 1.1112 0.0000
S 1.1112 2.1946 0.0000
Tc 0.0000 0.0000 0.0000
Tc 3.3058 3.3058 0.0000
Al 0.9967 4.3025 1.7294
Al 4.3025 5.6148 1.7294
Al 5.6148 2.3090 1.7294
Al 2.3090 0.9967 1.7294
```

DOS(E_F): 0.85 states/eV/atom
E above lowest polymorph: 0 meV per atom
uncorrected energy: -5.247 eV/atom


No. 2
Tb3MgGa2: relaxed, GGA-PBE. Values from VASP.

```
&SYSTEM
  ibrav = 0, nat = 12, ntyp = 3
/
ATOMIC_SPECIES
Tb 158.93 Tb.upf
Mg 24.30 Mg.upf
Ga 69.72 Ga.upf
CELL_PARAMETERS angstrom
-3.5976 2.6145 -2.5986
2.0886 -4.2383 -2.0508
-9.0001 -7.0379 5.3792
ATOMIC_POSITIONS angstrom
Tb -3.5733 -4.8994 0.0178
Tb -2.3652 -0.1883 -2.0197
Tb -6.8475 -5.3545 4.0926
Tb -2.1527 -1.6833 1.2866
Tb -8.1439 -8.4735 2.7495
Tb -6.9358 -3.7624 0.7120
Mg -5.8508 -6.6803 1.3790
Mg -4.6583 -1.9814 -0.6492
Ga -4.5001 -3.5189 2.6896
Ga -1.4099 -3.2076 -1.2753
Ga -9.0993 -5.4541 2.0051
Ga 0.0000 0.0000 0.0000
```

DOS(E_F): 0.54 states/eV/atom
DFT formation energy: -433 meV/atom
E above lowest polymorph: 0 meV per atom
uncorrected energy: -4.023 eV/atom


Question: Which of these has the lowest DOS(E_F)?
Answer: Tb3MgGa2


Question: uncorrected energy of number 1 (Al2TcS2)?
Answer: -5.247 eV/atom